1.
This record from Alexandria via LeMat-Bulk describes a relaxed structure of CaZnCd2O4. The functional is GGA-PBE.

## Properties
- M_tot (μB/f.u.) = 0.000
- electronic total energy (eV per atom) = -4.66

Lattice parameters (Å, degrees): 5.6678 3.3870 5.7342 90.00 108.31 90.00
With the nearest neighbours (Å) after each atom.
Space group P2/m (No. 10)
Inequivalent atoms, fractional coordinates:
Ca 0.0000 0.0000 0.0000 (multiplicity 1)  6 O 2.32-2.37
Zn 0.5000 0.5000 0.0000 (multiplicity 1)  2 O 2.04
Cd 0.0000 0.5000 0.5000 (multiplicity 1)  6 O 2.34-2.59
Cd 0.5000 0.0000 0.5000 (multiplicity 1)  6 O 2.30-2.42
O 0.2441 0.0000 0.7415 (multiplicity 2)  3 Cd 2.30-2.34, 1 Ca 2.32, 2 Zn 2.41
O 0.2755 0.5000 0.2161 (multiplicity 2)  1 Zn 2.04

=====

2.
This record from Alexandria via LeMat-Bulk describes a relaxed structure of Ca2ZnCdO4. The functional is GGA-PBE.

## Properties
- M_tot (μB/f.u.) = 0.000
- electronic total energy (eV per atom) = -5.28

Lattice parameters (Å, degrees): 5.6038 3.3909 5.7802 90.00 108.82 90.00
With the nearest neighbours (Å) after each atom.
Space group P2/m (No. 10)
Inequivalent atoms, fractional coordinates:
Ca 0.0000 0.0000 0.0000 (multiplicity 1)  6 O 2.40-2.43
Ca 0.0000 0.5000 0.5000 (multiplicity 1)  6 O 2.31-2.35
Zn 0.5000 0.0000 0.5000 (multiplicity 1)  6 O 2.20-2.35
Cd 0.5000 0.5000 0.0000 (multiplicity 1)  6 O 2.32-2.39
O 0.2553 0.5000 0.2554 (multiplicity 2)  3 Ca 2.31-2.40, 1 Cd 2.32, 2 Zn 2.35
O 0.2589 0.0000 0.7334 (multiplicity 2)  1 Zn 2.20, 3 Ca 2.35-2.43, 2 Cd 2.39

=====

3.
This record from Alexandria via LeMat-Bulk describes a relaxed structure of CaCd2Os. The functional is GGA-PBE.

## Properties
- M_tot (μB/f.u.) = 0.000
- electronic total energy (eV per atom) = -3.47

Lattice parameters (Å, degrees): 2.9347 4.4687 6.0983 90.00 90.45 90.00
With the nearest neighbours (Å) after each atom.
Space group P2/m (No. 10)
Inequivalent atoms, fractional coordinates:
Ca 0.0000 0.0000 0.0000 (multiplicity 1)  2 Ca 2.93, 2 Os 3.05, 8 Cd 3.15
Cd 0.4972 0.5000 0.7268 (multiplicity 2)  3 Cd 2.77-2.93, 4 Os 3.00-3.02
Os 0.0000 0.0000 0.5000 (multiplicity 1)  2 Os 2.93, 8 Cd 3.00-3.02, 2 Ca 3.05

=====

4.
This record from Alexandria via LeMat-Bulk describes a relaxed structure of CaCd2Os. The functional is GGA-PBE.

## Properties
- M_tot (μB/f.u.) = 0.158
- electronic total energy (eV per atom) = -3.47

Lattice parameters (Å, degrees): 11.4646 3.3608 4.8951 90.00 115.18 90.00
With the nearest neighbours (Å) after each atom.
Space group C2/m (No. 12)
Inequivalent atoms, fractional coordinates:
Ca 0.0000 0.0000 0.0000 (multiplicity 2)  4 Os 2.97, 4 Cd 3.31
Cd 0.2145 0.0000 0.7140 (multiplicity 4)  2 Os 2.79, 4 Cd 3.05-3.06
Os 0.0000 0.5000 0.5000 (multiplicity 2)  4 Cd 2.79, 4 Ca 2.97

=====

5.
This record from Alexandria via LeMat-Bulk describes a relaxed structure of CaCd2Os. The functional is GGA-PBE.

## Properties
- M_tot (μB/f.u.) = 0.852
- electronic total energy (eV per atom) = -3.30

Lattice parameters (Å, degrees): 5.9387 8.8033 3.0778 90.00 90.00 90.00
With the nearest neighbours (Å) after each atom.
Space group Cmmm (No. 65)
Inequivalent atoms, fractional coordinates:
Ca 0.0000 0.0000 0.0000 (multiplicity 2)  2 Os 2.97, 8 Cd 3.07, 2 Ca 3.08
Cd 0.2500 0.2500 0.5000 (multiplicity 4)  4 Cd 2.97-3.08, 4 Os 3.07, 4 Ca 3.07
Os 0.0000 0.5000 0.0000 (multiplicity 2)  2 Ca 2.97, 8 Cd 3.07, 2 Os 3.08

=====

6.
This record from Alexandria via LeMat-Bulk describes a relaxed structure of Ca2CdOs. The functional is GGA-PBE.

## Properties
- M_tot (μB/f.u.) = 0.000
- electronic total energy (eV per atom) = -3.72

Lattice parameters (Å, degrees): 4.4968 4.4968 8.8478 90.00 90.00 90.00
With the nearest neighbours (Å) after each atom.
Space group I-4m2 (No. 119)
Inequivalent atoms, fractional coordinates:
Ca 0.0000 0.0000 0.0000 (multiplicity 2)  4 Cd 3.15, 4 Ca 3.15, 4 Os 3.18
Ca 0.0000 0.5000 0.2500 (multiplicity 2)  4 Os 3.15, 4 Ca 3.15, 4 Cd 3.18
Cd 0.0000 0.5000 0.7500 (multiplicity 2)  8 Ca 3.15-3.18, 4 Os 3.15
Os 0.0000 0.0000 0.5000 (multiplicity 2)  4 Cd 3.15, 8 Ca 3.15-3.18

=====

7.
This record from Alexandria via LeMat-Bulk describes a relaxed structure of Ca3CdOs. The functional is GGA-PBE.

## Properties
- excess energy over the best structure of this formula in the dataset (eV per atom) = 0.000
- M_tot (μB/f.u.) = 0.000

Lattice parameters (Å, degrees): 5.4784 5.4784 5.4784 90.00 90.00 90.00
With the nearest neighbours (Å) after each atom.
Space group Pm-3m (No. 221)
Inequivalent atoms, fractional coordinates:
Ca 0.0000 0.0000 0.5000 (multiplicity 3)  2 Os 2.74
Cd 0.5000 0.5000 0.5000 (multiplicity 1)  12 Ca 3.87
Os 0.0000 0.0000 0.0000 (multiplicity 1)  6 Ca 2.74

=====

8.
This record from Alexandria via LeMat-Bulk describes a relaxed structure of CaCd2Os. The functional is GGA-PBE.

## Properties
- M_tot (μB/f.u.) = 0.000
- electronic total energy (eV per atom) = -3.36

Lattice parameters (Å, degrees): 6.9077 6.9077 6.9077 90.00 90.00 90.00
With the nearest neighbours (Å) after each atom.
Space group F-43m (No. 216)
Inequivalent atoms, fractional coordinates:
Ca 0.0000 0.0000 0.0000 (multiplicity 4)  4 Cd 2.99, 4 Os 2.99
Cd 0.0000 0.0000 0.5000 (multiplicity 4)  4 Cd 2.99, 4 Os 2.99
Cd 0.2500 0.2500 0.2500 (multiplicity 4)  4 Cd 2.99, 4 Ca 2.99
Os 0.2500 0.2500 0.7500 (multiplicity 4)  4 Cd 2.99, 4 Ca 2.99

=====

9.
This record from Alexandria via LeMat-Bulk describes a relaxed structure of Ca2CdOs. The functional is GGA-PBE.

## Properties
- M_tot (μB/f.u.) = 0.455
- electronic total energy (eV per atom) = -3.53

Lattice parameters (Å, degrees): 9.6512 3.3763 6.0068 90.00 101.41 90.00
With the nearest neighbours (Å) after each atom.
Space group C2/m (No. 12)
Inequivalent atoms, fractional coordinates:
Ca 0.2346 0.0000 0.2217 (multiplicity 4)  3 Os 2.92-3.11, 3 Cd 3.07-3.24, 2 Ca 3.22
Cd 0.0000 0.0000 0.5000 (multiplicity 2)  6 Ca 3.07-3.24, 2 Cd 3.38
Os 0.0000 0.5000 0.0000 (multiplicity 2)  6 Ca 2.92-3.11

=====

10.
This record from Alexandria via LeMat-Bulk describes a relaxed structure of Ca2CdOs. The functional is GGA-PBE.

## Properties
- M_tot (μB/f.u.) = 0.000
- electronic total energy (eV per atom) = -3.64

Lattice parameters (Å, degrees): 3.3283 3.3283 30.4709 90.00 90.00 120.00
With the nearest neighbours (Å) after each atom.
Space group R-3m (No. 166, hexagonal axes)
Inequivalent atoms, fractional coordinates:
Ca 0.0000 0.0000 0.2362 (multiplicity 6)  3 Os 2.86
Cd 0.0000 0.0000 0.0000 (multiplicity 3)  6 Cd 3.33, 6 Ca 3.53
Os 0.0000 0.0000 0.5000 (multiplicity 3)  6 Ca 2.86

=====

11.
This record from Alexandria via LeMat-Bulk describes a relaxed structure of Ca2CdOs. The functional is GGA-PBE.

## Properties
- M_tot (μB/f.u.) = 0.000
- electronic total energy (eV per atom) = -3.69

Lattice parameters (Å, degrees): 7.0727 7.0727 7.0727 90.00 90.00 90.00
With the nearest neighbours (Å) after each atom.
Space group F-43m (No. 216)
Inequivalent atoms, fractional coordinates:
Ca 0.0000 0.0000 0.0000 (multiplicity 4)  4 Ca 3.06, 4 Os 3.06
Ca 0.2500 0.2500 0.2500 (multiplicity 4)  4 Cd 3.06, 4 Ca 3.06
Cd 0.0000 0.0000 0.5000 (multiplicity 4)  4 Os 3.06, 4 Ca 3.06
Os 0.2500 0.2500 0.7500 (multiplicity 4)  4 Cd 3.06, 4 Ca 3.06

=====

12.
This record from Alexandria via LeMat-Bulk describes a relaxed structure of CaCd2Os. The functional is GGA-PBE.

## Properties
- M_tot (μB/f.u.) = 0.000
- electronic total energy (eV per atom) = -3.40

Lattice parameters (Å, degrees): 2.9311 4.4630 6.2287 90.00 90.00 90.00
With the nearest neighbours (Å) after each atom.
Space group Pmm2 (No. 25)
Inequivalent atoms, fractional coordinates:
Ca 0.0000 0.0000 0.0000 (multiplicity 1)  5 Cd 2.93-3.21, 2 Ca 2.93, 4 Os 3.06
Cd 0.0000 0.0000 0.5303 (multiplicity 1)  1 Ca 2.93, 6 Cd 2.93-3.07, 4 Os 3.03
Cd 0.5000 0.5000 0.2875 (multiplicity 1)  6 Cd 2.93-3.07, 2 Os 2.95-3.28, 4 Ca 3.21
Os 0.5000 0.5000 0.7605 (multiplicity 1)  2 Os 2.93, 6 Cd 2.95-3.28, 4 Ca 3.06